No. 1
Here is MnSn2Pd after structural relaxation from Alexandria via LeMat-Bulk. Energies are from GGA-PBE.

Computed properties:
DFT total energy: -5.61 eV/atom
mass density: 8.6 Mg/m³
D(E_F): 0.880 states/eV per atom
calculated volume: 306.6 Å³/cell

abc: 6.743 6.743 6.743
angles: 90.00 90.00 90.00
Space group Fm-3m (No. 225)
Inequivalent atoms, fractional coordinates:
Mn 0.000 0.000 0.000 [4 per cell]
Sn 0.250 0.250 0.250 [8 per cell]
Pd 0.000 0.000 0.500 [4 per cell]



No. 2
Here is Th2Cd3Pb3 after structural relaxation from Alexandria via LeMat-Bulk. Energies are from GGA-PBE.

Computed properties:
DFT total energy: -3.82 eV/atom
mass density: 10.7 Mg/m³
D(E_F): 0.541 states/eV per atom
calculated volume: 219.9 Å³/cell

abc: 4.796 4.931 9.300
angles: 90.00 90.00 90.00
Space group Pmmm (No. 47)
Inequivalent atoms, fractional coordinates:
Th 0.000 0.000 0.248 [2 per cell]
Cd 0.000 0.500 0.500 [1 per cell]
Cd 0.500 0.500 0.262 [2 per cell]
Pb 0.000 0.500 0.000 [1 per cell]
Pb 0.500 0.000 0.000 [1 per cell]
Pb 0.500 0.000 0.500 [1 per cell]



No. 3
Here is BeSbH after structural relaxation from Alexandria via LeMat-Bulk. Energies are from GGA-PBE.

Computed properties:
mass density: 4.9 Mg/m³
relative energy among the computed polymorphs: 0.158 eV per atom
D(E_F): 0.135 states/eV per atom
calculated volume: 178.2 Å³/cell

abc: 4.298 9.190 4.512
angles: 90.00 90.00 90.00
Space group Imma (No. 74)
Inequivalent atoms, fractional coordinates:
Be 0.250 0.250 0.250 [4 per cell]
Sb 0.000 0.000 0.000 [4 per cell]
H 0.000 0.250 0.467 [4 per cell]



No. 4
Here is BaNi2P2 after structural relaxation from Alexandria via LeMat-Bulk. Energies are from GGA-PBE.

Computed properties:
DFT total energy: -5.42 eV/atom
mass density: 5.5 Mg/m³
D(E_F): 0.503 states/eV per atom
calculated volume: 191.9 Å³/cell

abc: 4.304 4.304 10.359
angles: 90.00 90.00 90.00
Space group I4/mmm (No. 139)
Inequivalent atoms, fractional coordinates:
Ba 0.000 0.000 0.000 [2 per cell]
Ni 0.000 0.000 0.325 [4 per cell]
P 0.000 0.500 0.250 [4 per cell]



No. 5
Here is CdInCoSn2 after structural relaxation from Alexandria via LeMat-Bulk. Energies are from GGA-PBE.

Computed properties:
mass density: 7.1 Mg/m³
relative energy among the computed polymorphs: 0.012 eV per atom
D(E_F): 0.749 states/eV per atom
calculated volume: 123.3 Å³/cell

abc: 4.896 4.896 5.144
angles: 90.00 90.00 90.00
Space group P4/mmm (No. 123)
Inequivalent atoms, fractional coordinates:
Cd 0.000 0.000 0.000 [1 per cell]
In 0.500 0.500 0.000 [1 per cell]
Co 0.000 0.000 0.500 [1 per cell]
Sn 0.000 0.500 0.500 [2 per cell]



No. 6
Here is PmNiSn2Rh4 after structural relaxation from Alexandria via LeMat-Bulk. Energies are from GGA-PBE.

Computed properties:
DFT total energy: -6.48 eV/atom
mass density: 10.1 Mg/m³
D(E_F): 0.620 states/eV per atom
calculated volume: 418.7 Å³/cell

abc: 4.4824 4.4824 24.0640
angles: 90.00 90.00 120.00
Space group R-3m (No. 166, hexagonal axes)
Inequivalent atoms, fractional coordinates:
Pm 0.0000 0.0000 0.0000 [3 per cell]
Ni 0.0000 0.0000 0.5000 [3 per cell]
Sn 0.0000 0.0000 0.2399 [6 per cell]
Rh 0.0000 0.0000 0.1282 [6 per cell]
Rh 0.0000 0.0000 0.3941 [6 per cell]



No. 7
Here is Y3BiC after structural relaxation from Alexandria via LeMat-Bulk. Energies are from GGA-PBE.

Computed properties:
mass density: 6.6 Mg/m³
relative energy among the computed polymorphs: 0.037 eV per atom
D(E_F): 0.972 states/eV per atom
calculated volume: 246.5 Å³/cell

abc: 6.8533 6.8533 6.0609
angles: 90.00 90.00 120.00
Space group P6_3/mmc (No. 194)
Inequivalent atoms, fractional coordinates:
Y 0.1593 0.3186 0.2500 [6 per cell]
Bi 0.3333 0.6667 0.7500 [2 per cell]
C 0.0000 0.0000 0.0000 [2 per cell]



No. 8
Here is YbB3N3 after structural relaxation from Alexandria via LeMat-Bulk. Energies are from GGA-PBE.

Computed properties:
mass density: 7.6 Mg/m³
D(E_F): 0.413 states/eV per atom
calculated volume: 108.7 Å³/cell
E_form (uncorrected): 105 meV/atom

abc: 4.773 4.773 4.773
angles: 90.00 90.00 90.00
Space group Pm-3n (No. 223)
Inequivalent atoms, fractional coordinates:
Yb 0.000 0.000 0.000 [2 per cell]
B 0.000 0.250 0.500 [6 per cell]
N 0.000 0.500 0.250 [6 per cell]



No. 9
Here is Pr6Dy2Y3 after structural relaxation from Alexandria via LeMat-Bulk. Energies are from GGA-PBE.

Computed properties:
mass density: 6.3 Mg/m³
relative energy among the computed polymorphs: 0.000 eV per atom
D(E_F): 1.345 states/eV per atom
calculated volume: 376.4 Å³/cell

abc: 6.313 8.122 8.161
angles: 107.34 97.29 104.91
Space group P-1 (No. 2)
Inequivalent atoms, fractional coordinates:
Pr 0.047 0.181 0.407 [2 per cell]
Pr 0.135 0.546 0.228 [2 per cell]
Pr 0.320 0.270 0.865 [2 per cell]
Dy 0.228 0.911 0.046 [2 per cell]
Y 0.409 0.639 0.683 [2 per cell]
Y 0.500 0.000 0.500 [1 per cell]



No. 10
Here is LaMn3Cu after structural relaxation from Alexandria via LeMat-Bulk. Energies are from GGA-PBE.

Computed properties:
mass density: 5.8 Mg/m³
relative energy among the computed polymorphs: 1.221 eV per atom
D(E_F): 0.857 states/eV per atom
calculated volume: 105.9 Å³/cell

abc: 4.731 4.731 4.731
angles: 90.00 90.00 90.00
Space group Pm-3m (No. 221)
Inequivalent atoms, fractional coordinates:
La 0.000 0.000 0.000 [1 per cell]
Mn 0.000 0.000 0.500 [3 per cell]
Cu 0.500 0.500 0.500 [1 per cell]



No. 11
Here is NbReSb3 after structural relaxation from Alexandria via LeMat-Bulk. Energies are from GGA-PBE.

Computed properties:
mass density: 7.7 Mg/m³
relative energy among the computed polymorphs: 0.000 eV per atom
D(E_F): 0.977 states/eV per atom
calculated volume: 138.2 Å³/cell
E_form (uncorrected): 1186 meV/atom

abc: 5.170 5.170 5.170
angles: 90.00 90.00 90.00
Space group Pm-3m (No. 221)
Inequivalent atoms, fractional coordinates:
Nb 0.000 0.000 0.000 [1 per cell]
Re 0.500 0.500 0.500 [1 per cell]
Sb 0.000 0.500 0.500 [3 per cell]



No. 12
Here is RbIn2PPt after structural relaxation from Alexandria via LeMat-Bulk. Energies are from GGA-PBE.

Computed properties:
DFT total energy: -3.04 eV/atom
mass density: 5.6 Mg/m³
D(E_F): 0.433 states/eV per atom
calculated volume: 159.3 Å³/cell

abc: 5.142 5.142 6.025
angles: 90.00 90.00 90.00
Space group P4/mmm (No. 123)
Inequivalent atoms, fractional coordinates:
Rb 0.000 0.000 0.000 [1 per cell]
In 0.000 0.500 0.500 [2 per cell]
P 0.000 0.000 0.500 [1 per cell]
Pt 0.500 0.500 0.000 [1 per cell]



No. 13
Here is Ac2CePt2I2 after structural relaxation from Alexandria via LeMat-Bulk. Energies are from GGA-PBE.

Computed properties:
mass density: 8.4 Mg/m³
D(E_F): 0.874 states/eV per atom
calculated volume: 486.7 Å³/cell
E_form (uncorrected): -1129 meV/atom

abc: 5.254 5.254 17.627
angles: 90.00 90.00 90.00
Space group I4/mmm (No. 139)
Inequivalent atoms, fractional coordinates:
Ac 0.000 0.000 0.111 [4 per cell]
Ce 0.000 0.000 0.500 [2 per cell]
Pt 0.000 0.500 0.000 [4 per cell]
I 0.000 0.000 0.310 [4 per cell]



No. 14
Here is Er2PaCl after structural relaxation from Alexandria via LeMat-Bulk. Energies are from GGA-PBE.

Computed properties:
mass density: 9.8 Mg/m³
D(E_F): 0.978 states/eV per atom
calculated volume: 304.1 Å³/cell
E_form (uncorrected): -281 meV/atom

abc: 3.2647 3.2647 32.9503
angles: 90.00 90.00 120.00
Space group R-3m (No. 166, hexagonal axes)
Inequivalent atoms, fractional coordinates:
Er 0.0000 0.0000 0.0985 [6 per cell]
Pa 0.0000 0.0000 0.0000 [3 per cell]
Cl 0.0000 0.0000 0.5000 [3 per cell]



No. 15
Here is Ho6Er8Th after structural relaxation from Alexandria via LeMat-Bulk. Energies are from GGA-PBE.

Computed properties:
DFT total energy: -4.63 eV/atom
mass density: 9.0 Mg/m³
D(E_F): 1.517 states/eV per atom
calculated volume: 1416.3 Å³/cell

abc: 8.9485 8.9485 20.4240
angles: 90.00 90.00 120.00
Space group R-3 (No. 148, hexagonal axes)
Inequivalent atoms, fractional coordinates:
Ho 0.0615 0.2463 0.2087 [18 per cell]
Er 0.0000 0.0000 0.0770 [6 per cell]
Er 0.0818 0.5557 0.3066 [18 per cell]
Th 0.0000 0.0000 0.5000 [3 per cell]



No. 16
Here is Cs2OsAu after structural relaxation from Alexandria via LeMat-Bulk. Energies are from GGA-PBE.

Computed properties:
mass density: 7.5 Mg/m³
relative energy among the computed polymorphs: 0.323 eV per atom
D(E_F): 0.304 states/eV per atom
calculated volume: 578.5 Å³/cell

abc: 8.332 8.332 8.332
angles: 90.00 90.00 90.00
Space group Fm-3m (No. 225)
Inequivalent atoms, fractional coordinates:
Cs 0.250 0.250 0.250 [8 per cell]
Os 0.000 0.000 0.000 [4 per cell]
Au 0.000 0.000 0.500 [4 per cell]



No. 17
Here is Cd4In6Hg19 after structural relaxation from Alexandria via LeMat-Bulk. Energies are from GGA-PBE.

Computed properties:
DFT total energy: -0.86 eV/atom
mass density: 10.5 Mg/m³
D(E_F): 0.417 states/eV per atom
calculated volume: 1570.1 Å³/cell

abc: 11.623 11.623 11.623
angles: 90.00 90.00 90.00
Space group I23 (No. 197)
Inequivalent atoms, fractional coordinates:
Cd 0.186 0.186 0.814 [8 per cell]
In 0.000 0.359 0.500 [12 per cell]
Hg 0.000 0.000 0.000 [2 per cell]
Hg 0.000 0.000 0.266 [12 per cell]
Hg 0.057 0.263 0.269 [24 per cell]



No. 18
Here is Ba3Cd2Ga2Pd4 after structural relaxation from Alexandria via LeMat-Bulk. Energies are from GGA-PBE.

Computed properties:
DFT total energy: -3.59 eV/atom
mass density: 6.6 Mg/m³
D(E_F): 0.660 states/eV per atom
calculated volume: 301.0 Å³/cell

abc: 4.5401 4.5401 16.8598
angles: 90.00 90.00 120.00
Space group P-3m1 (No. 164)
Inequivalent atoms, fractional coordinates:
Ba 0.0000 0.0000 0.0000 [1 per cell]
Ba 0.0000 0.0000 0.2774 [2 per cell]
Cd 0.3333 0.6667 0.5568 [2 per cell]
Ga 0.3333 0.6667 0.1400 [2 per cell]
Pd 0.3333 0.6667 0.3904 [2 per cell]
Pd 0.3333 0.6667 0.8635 [2 per cell]



No. 19
Here is Na2MnBePd after structural relaxation from Alexandria via LeMat-Bulk. Energies are from GGA-PBE.

Computed properties:
DFT total energy: -3.44 eV/atom
mass density: 2.9 Mg/m³
D(E_F): 0.694 states/eV per atom
calculated volume: 121.8 Å³/cell

abc: 5.338 5.338 4.273
angles: 90.00 90.00 90.00
Space group P4/mmm (No. 123)
Inequivalent atoms, fractional coordinates:
Na 0.000 0.500 0.000 [2 per cell]
Mn 0.000 0.000 0.500 [1 per cell]
Be 0.500 0.500 0.500 [1 per cell]
Pd 0.500 0.500 0.000 [1 per cell]



No. 20
Here is CuRhF2 after structural relaxation from Alexandria via LeMat-Bulk. Energies are from GGA-PBE.

Computed properties:
mass density: 7.2 Mg/m³
relative energy among the computed polymorphs: 0.000 eV per atom
D(E_F): 0.617 states/eV per atom
calculated volume: 141.6 Å³/cell
E_form (uncorrected): -792 meV/atom

abc: 2.7583 2.7583 21.4856
angles: 90.00 90.00 120.00
Space group R-3m (No. 166, hexagonal axes)
Inequivalent atoms, fractional coordinates:
Cu 0.0000 0.0000 0.0000 [3 per cell]
Rh 0.0000 0.0000 0.5000 [3 per cell]
F 0.0000 0.0000 0.4042 [6 per cell]